[1]
K2CoOs, optimized geometry, DFT PBE; electronic total energy = -4.312 eV per atom; energy above the most stable polymorph in this dataset = 0.071 eV per atom; energy relative to the elements = 0.82 eV/atom; space-group type = No. 99
1.0
3.2337 0.0000 0.0000
0.0000 3.2337 0.0000
0.0000 0.0000 10.2785
K Co Os
2 1 1
Cartesian
0.0000 0.0000 0.0000
1.6169 1.6169 4.3961
1.6169 1.6169 7.7810
0.0000 0.0000 6.9727

---

[2]
UFeGe2Ru, optimized geometry, DFT PBE; electronic total energy = -7.937 eV per atom; energy relative to the elements = -0.28 eV/atom; space-group type = No. 119
1.0
4.1363 0.0000 0.0000
0.0000 4.1363 0.0000
0.0000 0.0000 9.8467
U Fe Ge Ru
2 2 4 2
Cartesian
0.0000 0.0000 0.0000
2.0682 2.0682 4.9234
0.0000 2.0682 2.4617
2.0682 0.0000 7.3850
0.0000 0.0000 3.6812
0.0000 0.0000 6.1656
2.0682 2.0682 1.2422
2.0682 2.0682 8.6045
0.0000 2.0682 7.3850
2.0682 0.0000 2.4617

---

[3]
LaPmRh2, optimized geometry, DFT PBE; electronic total energy = -6.825 eV per atom; energy above the most stable polymorph in this dataset = 0.000 eV per atom; energy relative to the elements = -0.73 eV/atom; space-group type = No. 38
1.0
4.2682 0.0000 0.0000
0.0000 3.9345 0.0000
0.0000 0.0000 11.0605
La Pm Rh
2 2 4
Cartesian
0.0000 0.0000 0.0000
0.0000 1.9673 5.5303
2.1341 0.0000 7.9614
2.1341 1.9673 2.4312
0.0000 0.0000 2.9934
0.0000 1.9673 8.5236
2.1341 0.0000 4.9323
2.1341 1.9673 10.4626

---

[4]
YMn2Co, optimized geometry, DFT PBE; electronic total energy = -7.772 eV per atom; energy above the most stable polymorph in this dataset = 0.104 eV per atom; energy relative to the elements = 0.21 eV/atom; space-group type = No. 166
1.0
3.9768 0.0000 0.0000
-1.9884 3.4440 0.0000
0.0000 0.0000 14.7740
Y Mn Co
3 6 3
Cartesian
0.0000 0.0000 0.0000
0.0000 2.2960 9.8494
1.9884 1.1480 4.9247
0.0000 0.0000 2.7855
0.0000 0.0000 11.9885
0.0000 2.2960 7.0638
0.0000 2.2960 12.6349
1.9884 1.1480 2.1392
1.9884 1.1480 7.7102
0.0000 0.0000 7.3870
0.0000 2.2960 2.4623
1.9884 1.1480 12.3117

---

[5]
Ba2MgGe2, optimized geometry, DFT PBE; electronic total energy = -3.084 eV per atom; energy above the most stable polymorph in this dataset = 0.239 eV per atom; energy relative to the elements = -0.15 eV/atom; space-group type = No. 139
1.0
6.6033 0.0000 0.0000
0.0000 6.6033 0.0000
0.0000 0.0000 8.2041
Ba Mg Ge
4 2 4
Cartesian
0.0000 3.3016 2.0510
0.0000 3.3016 6.1531
3.3016 0.0000 2.0510
3.3016 0.0000 6.1531
0.0000 0.0000 0.0000
3.3016 3.3016 4.1021
0.0000 0.0000 2.8667
0.0000 0.0000 5.3374
3.3016 3.3016 1.2353
3.3016 3.3016 6.9688

---

[6]
Cs3Pm2SnTe6, optimized geometry, DFT PBE; electronic total energy = -4.013 eV per atom; uncorrected formation energy = -1.104 eV/atom; space-group type = No. 12
1.0
4.0230 -6.9692 0.0000
4.0230 6.9692 0.0000
-2.6818 0.0000 8.9132
Cs Pm Sn Te
3 2 1 6
Cartesian
0.0000 0.0000 0.0000
4.0230 2.3469 0.0000
4.0230 -2.3469 0.0000
2.6822 4.6499 4.4566
2.6822 -4.6499 4.4566
2.6822 0.0000 4.4566
1.3592 2.2928 2.7611
0.0355 0.0000 6.1625
1.3592 -2.2928 2.7611
4.0051 2.2928 6.1521
5.3288 0.0000 2.7507
4.0051 -2.2928 6.1521

---

[7]
KPaCl2, optimized geometry, DFT PBE; electronic total energy = -4.651 eV per atom; uncorrected formation energy = -1.080 eV/atom; space-group type = No. 166
1.0
3.5825 0.0000 0.0000
-1.7913 3.1026 0.0000
0.0000 0.0000 30.9866
K Pa Cl
3 3 6
Cartesian
0.0000 0.0000 0.0000
0.0000 2.0684 20.6577
1.7913 1.0342 10.3288
0.0000 0.0000 15.4933
0.0000 2.0684 5.1644
1.7913 1.0342 25.8221
0.0000 0.0000 3.1656
0.0000 0.0000 27.8210
0.0000 2.0684 17.4922
0.0000 2.0684 23.8232
1.7913 1.0342 7.1633
1.7913 1.0342 13.4944

---

[8]
RbPSeN2, optimized geometry, DFT PBE; electronic total energy = -4.155 eV per atom; energy above the most stable polymorph in this dataset = 0.000 eV per atom; uncorrected formation energy = 1.147 eV/atom; space-group type = No. 123
1.0
4.1547 0.0000 0.0000
0.0000 4.1547 0.0000
0.0000 0.0000 4.9539
Rb P Se N
1 1 1 2
Cartesian
0.0000 0.0000 0.0000
2.0773 2.0773 2.4770
2.0773 2.0773 0.0000
0.0000 2.0773 2.4770
2.0773 0.0000 2.4770

---

[9]
DyHoTh2, optimized geometry, DFT PBE; electronic total energy = -5.473 eV per atom; energy above the most stable polymorph in this dataset = 0.501 eV per atom; energy relative to the elements = 0.53 eV/atom; space-group type = No. 15
1.0
6.8754 0.0000 0.0000
0.0000 26.5210 0.0000
-1.5813 0.0000 3.1708
Dy Ho Th
4 4 8
Cartesian
1.7188 6.6302 0.0000
0.9282 19.8907 1.5854
4.3659 6.6302 1.5854
5.1565 19.8907 0.0000
-0.3953 4.1314 0.7927
-1.1859 22.3895 2.3781
2.2517 9.1291 2.3781
3.0424 17.3919 0.7927
1.3491 11.7978 0.6724
0.5585 14.7232 2.2578
0.5073 1.4627 2.4984
1.2979 25.0582 0.9130
3.9962 1.4627 2.2578
4.7868 25.0582 0.6724
4.7356 11.7978 0.9130
3.9450 14.7232 2.4984

---

[10]
Li6AcTl4, optimized geometry, DFT PBE; electronic total energy = -2.508 eV per atom; energy relative to the elements = -0.23 eV/atom; space-group type = No. 187
1.0
7.8615 0.0000 0.0000
-3.9308 6.8083 0.0000
0.0000 0.0000 4.6919
Li Ac Tl
6 1 4
Cartesian
0.0000 2.7822 0.0000
-1.5213 5.4172 0.0000
1.4322 0.8269 2.3460
1.5213 5.4172 0.0000
6.4293 0.8269 2.3460
3.9308 5.1545 2.3460
3.9308 2.2694 0.0000
0.0000 0.0000 0.0000
-1.6033 3.6132 2.3460
1.6033 3.6132 2.3460
0.0000 6.3902 2.3460

---

[11]
HoTiAl, optimized geometry, DFT PBE; electronic total energy = -5.565 eV per atom; energy above the most stable polymorph in this dataset = 0.000 eV per atom; energy relative to the elements = -0.16 eV/atom; space-group type = No. 189
1.0
7.1830 0.0000 0.0000
-3.5915 6.2206 0.0000
0.0000 0.0000 4.4718
Ho Ti Al
3 3 3
Cartesian
-1.5523 2.6886 0.0000
3.1045 0.0000 0.0000
2.0392 3.5320 0.0000
-2.7940 4.8394 2.2359
0.7975 1.3812 2.2359
5.5881 0.0000 2.2359
0.0000 0.0000 0.0000
0.0000 4.1471 2.2359
3.5915 2.0735 2.2359

---

[12]
CaC2O4, optimized geometry, DFT PBE; electronic total energy = -7.144 eV per atom; energy above the most stable polymorph in this dataset = 0.464 eV per atom; uncorrected formation energy = -1.389 eV/atom; space-group type = No. 10
1.0
6.4337 0.0000 0.0000
0.0000 7.3948 0.0000
-2.3926 0.0000 9.4365
Ca C O
4 8 16
Cartesian
-0.2653 0.0000 3.0320
0.1493 3.6974 1.8305
3.8918 3.6974 7.6060
4.3064 0.0000 6.4045
0.0000 0.7814 0.0000
-1.1963 2.9138 4.7182
-1.1963 4.4810 4.7182
0.0000 6.6134 0.0000
2.5544 3.6974 0.4027
1.7900 0.0000 5.3565
2.2512 0.0000 4.0800
1.4867 3.6974 9.0337
-0.5804 2.3419 3.7679
-0.5804 5.0529 3.7679
0.1265 1.3464 1.1262
0.1265 6.0484 1.1262
-0.9200 3.6974 9.1611
0.0859 0.0000 6.9517
0.4789 0.0000 5.5721
2.5769 3.6974 1.6635
1.4642 3.6974 7.7730
3.5622 0.0000 3.8644
3.9552 0.0000 2.4848
4.9612 3.6974 0.2753
3.9146 1.3464 8.3103
3.9146 6.0484 8.3103
4.6216 2.3419 5.6686
4.6216 5.0529 5.6686

---

[13]
NaMnTl2Br5, optimized geometry, DFT PBE; electronic total energy = -3.577 eV per atom; uncorrected formation energy = -0.957 eV/atom; space-group type = No. 36
1.0
2.0973 -9.1874 0.0000
2.0973 9.1874 0.0000
0.0000 0.0000 15.4526
Na Mn Tl Br
2 2 4 10
Cartesian
2.0973 8.3807 7.7263
2.0973 -8.3807 0.0000
2.0973 4.1413 1.1732
2.0973 -4.1413 8.8996
2.0973 2.5826 5.2494
2.0973 1.5392 10.8670
2.0973 -1.5392 3.1406
2.0973 -2.5826 12.9757
2.0973 9.0861 12.8172
2.0973 6.7492 0.6642
2.0973 5.4497 7.1642
2.0973 4.8011 10.7703
2.0973 1.5070 1.7592
2.0973 -1.5070 9.4855
2.0973 -4.8011 3.0440
2.0973 -5.4497 14.8906
2.0973 -6.7492 8.3905
2.0973 -9.0861 5.0909

---

[14]
K5Ag2Hg, optimized geometry, DFT PBE; electronic total energy = -1.487 eV per atom; energy relative to the elements = -0.05 eV/atom; space-group type = No. 140
1.0
-4.4833 4.4833 8.4394
4.4833 -4.4833 8.4394
4.4833 4.4833 -8.4394
K Ag Hg
10 4 2
Cartesian
0.0000 0.0000 0.0000
6.0107 1.5274 -2.4008
1.5274 2.9560 -2.4008
6.0107 1.5274 2.4008
1.5274 2.9560 2.4008
0.0000 0.0000 8.4394
2.9560 1.5274 6.0386
-1.5274 2.9560 6.0386
2.9560 1.5274 10.8402
-1.5274 2.9560 10.8402
3.4725 1.0108 0.0000
3.4725 -1.0108 8.4394
1.0108 5.4942 0.0000
1.0108 3.4725 8.4394
0.0000 0.0000 4.2197
0.0000 0.0000 12.6591

---

[15]
Sc2TlCu, optimized geometry, DFT PBE; electronic total energy = -5.055 eV per atom; energy relative to the elements = -0.27 eV/atom; space-group type = No. 123
1.0
3.3800 0.0000 0.0000
0.0000 3.3800 0.0000
0.0000 0.0000 7.1409
Sc Tl Cu
2 1 1
Cartesian
0.0000 0.0000 1.5560
0.0000 0.0000 5.5849
1.6900 1.6900 3.5705
1.6900 1.6900 0.0000

---

[16]
Sr12Ge6N, optimized geometry, DFT PBE; electronic total energy = -3.374 eV per atom; uncorrected formation energy = -0.416 eV/atom; space-group type = No. 148
1.0
6.7825 3.9159 4.3945
-6.7825 3.9159 4.3945
0.0000 -7.8317 4.3945
Sr Ge N
12 6 1
Cartesian
-6.1400 -1.6796 7.3580
-1.6155 -6.1572 5.8254
-2.7962 -0.4262 5.3021
-4.5246 4.4776 5.8254
-1.0290 -2.6347 7.8813
1.7672 -2.2085 5.3021
-1.7672 2.2085 7.8813
1.0290 2.6347 5.3021
4.5246 -4.4776 7.3580
2.7963 0.4262 7.8813
1.6154 6.1572 7.3580
6.1400 1.6796 5.8254
-1.0686 -3.1685 4.5800
-2.2097 2.5097 4.5800
-3.2783 -0.6588 8.6034
3.2783 0.6588 4.5800
2.2097 -2.5097 8.6034
1.0686 3.1685 8.6034
0.0000 0.0000 0.0000

---

no.,calculated density (g cm⁻³),D(E_F) (states/eV per cell)
1,5.06,4.24
2,10.65,10.74
3,8.76,3.94
4,6.35,15.71
5,4.12,12.05
6,5.23,4.47
7,4.93,12.11
8,4.34,2.72
9,9.09,33.56
10,7.18,5.20
11,5.98,10.61
12,1.90,0.55
13,4.94,0.00
14,2.99,8.07
15,7.28,3.39
16,3.56,21.75